Li3Mn: PBEsol geometry, meta-GGA SCAN.

Its formation energy is 0.39 eV per atom. As for the volume: 13.0 A^3/atom. The value obtained for the density of states at the Fermi level is 0.589 states/eV per atom.

The space group is P4/mmm (No. 123) and the conventional cell measures 2.366, 2.366 and 9.321 Å, with angles of 90.00, 90.00 and 90.00 degrees. Symmetry generates all atoms from Li at (0.000, 0.000, 0.000), Li at (0.500, 0.500, 0.273) and Mn at (0.000, 0.000, 0.500).